Entry 1:
Density functional theory data (PBE) for Pu2PaSb4 after structural relaxation.

a b c (Å): 4.343 5.835 16.775
angles (deg): 90.00 90.00 111.85
Fractional positions:
Sb1 0.128 0.256 0.874
Sb2 0.128 0.256 0.626
Sb3 0.500 0.000 0.500
Sb4 0.500 0.000 0.000
Pu1 0.178 0.356 0.431
Pu2 0.178 0.356 0.069
Sb5 0.172 0.343 0.250
Sb6 0.872 0.744 0.374
Sb7 0.828 0.657 0.750
Pa1 0.462 0.923 0.250
Sb8 0.872 0.744 0.126
Pu3 0.822 0.644 0.931
Pu4 0.822 0.644 0.569
Pa2 0.538 0.077 0.750

***

Entry 2:
Density functional theory data (PBE) for Pu4Pa2Sb3 after structural relaxation.

a b c (Å): 5.455 9.302 9.302
angles (deg): 73.79 85.08 85.08
Fractional positions:
Pa1 0.899 0.408 0.162
Pu1 0.276 0.506 0.262
Pu2 0.724 0.494 0.738
Pu3 0.974 0.181 0.931
Pa2 0.601 0.838 0.592
Sb1 0.063 0.961 0.703
Pa3 0.399 0.162 0.408
Sb2 0.937 0.039 0.297
Sb3 0.437 0.297 0.039
Pu4 0.526 0.069 0.819
Pa4 0.101 0.592 0.838
Pu5 0.776 0.262 0.506
Pu6 0.026 0.819 0.069
Sb4 0.563 0.703 0.961
Pu7 0.474 0.931 0.181
Pu8 0.224 0.738 0.494
Sb5 0.250 0.377 0.623
Sb6 0.750 0.623 0.377

***

Entry 3:
Density functional theory data (PBE) for Pu3PaSb4 after structural relaxation.

a b c (Å): 4.429 7.646 7.646
angles (deg): 109.55 90.00 90.00
Fractional positions:
Sb1 0.500 0.247 0.753
Sb2 0.500 0.753 0.247
Pa1 0.500 0.000 0.000
Sb3 0.000 0.754 0.754
Pu1 0.000 0.500 0.000
Sb4 0.000 0.246 0.246
Pu2 0.500 0.500 0.500
Pu3 0.000 0.000 0.500

***

Number 1: formation energy (no corrections) -43.2 kJ per mole of atoms. Number 2: formation energy (no corrections) -38.3 kJ per mole of atoms. Number 3: formation energy (no corrections) -57.0 kJ per mole of atoms.